{
  "formula": "RbPHRuC",
  "functional": "PBE",
  "state": "optimized geometry",
  "lattice": [[4.3151, 0.0000, -0.0142], [0.0000, 3.2802, 0.0000], [-3.1062, 0.0000, 12.3588]],
  "species": ["Rb", "Rb", "Ru", "Ru", "P", "P", "H", "H", "C", "C"],
  "frac_coords": [[0.7789, 0.5000, 0.5754], [0.7789, 0.0000, 0.0754], [0.1781, 0.5000, 0.8591], [0.1781, 0.0000, 0.3591], [0.4946, 0.0000, 0.7851], [0.4946, 0.5000, 0.2851], [0.1714, 0.5000, 0.9880], [0.1714, 0.0000, 0.4880], [0.9224, 0.0000, 0.8344], [0.9224, 0.5000, 0.3344]],
  "magmom_total_mub_per_fu": 0.00,
  "dos_ef_per_ev_fu": 1.74,
  "crystal_system": "monoclinic",
  "vol_a3_per_atom": 17.48,
  "e_tot_ev_per_atom": -5.4450,
  "spacegroup": "Cm, No. 8",
  "e_above_lowest_polymorph_mev_per_atom": 60.9
}